[1]
First-principles (PBE) data for a relaxed CrTe2I crystal, as listed in the Alexandria database.

* uncorrected formation energy: 0.1955 eV/atom
* crystal system: orthorhombic
* SG: No. 63
* calculated volume: 272.7 Å³/cell
* total moment: 3.5 μB per formula unit

Structure (POSCAR):
```
CrTe2I
1.0
1.893 -13.793 0.000
1.893 13.793 0.000
0.000 0.000 5.223
Cr Te I
2 4 2
direct
0.058 0.942 0.750 Cr
0.942 0.058 0.250 Cr
0.040 0.960 0.250 Te
0.157 0.843 0.750 Te
0.843 0.157 0.250 Te
0.960 0.040 0.750 Te
0.331 0.669 0.750 I
0.669 0.331 0.250 I
```

---

[2]
First-principles (PBE) data for a relaxed HfCr2Ni2 crystal, as listed in the Alexandria database.

* formation energy: 0.1099 eV/atom
* crystal system: tetragonal
* SG: No. 139
* calculated volume: 69.9 Å³/cell
* total moment: 1.8 μB per formula unit

Structure (POSCAR):
```
HfCr2Ni2
1.0
-1.878 1.878 4.954
1.878 -1.878 4.954
1.878 1.878 -4.954
Hf Cr Ni
1 2 2
direct
0.000 0.000 0.000 Hf
0.396 0.396 0.000 Cr
0.604 0.604 0.000 Cr
0.250 0.750 0.500 Ni
0.750 0.250 0.500 Ni
```

---

[3]
First-principles (PBE) data for a relaxed NaTcBi3 crystal, as listed in the Alexandria database.

* formation energy: 0.3775 eV/atom
* crystal system: cubic
* SG: No. 221
* calculated volume: 160.2 Å³/cell
* total moment: 1.0 μB per formula unit

Structure (POSCAR):
```
NaTcBi3
1.0
5.431 0.000 0.000
0.000 5.431 0.000
0.000 0.000 5.431
Na Tc Bi
1 1 3
direct
0.000 0.000 0.000 Na
0.500 0.500 0.500 Tc
0.000 0.500 0.500 Bi
0.500 0.000 0.500 Bi
0.500 0.500 0.000 Bi
```

---

[4]
First-principles (PBE) data for a relaxed Cs2RbInBr4 crystal, as listed in the Alexandria database.

* uncorrected formation energy: -1.4849 eV/atom
* crystal system: monoclinic
* SG: No. 10
* calculated volume: 359.5 Å³/cell
* total moment: 0.0 μB per formula unit

Structure (POSCAR):
```
Cs2RbInBr4
1.0
8.694 0.000 0.000
0.000 5.040 0.000
-2.909 0.000 8.207
Cs Rb In Br
2 1 1 4
direct
0.000 0.000 0.000 Cs
0.500 0.500 0.000 Cs
0.000 0.500 0.500 Rb
0.500 0.000 0.500 In
0.249 0.000 0.732 Br
0.262 0.500 0.271 Br
0.738 0.500 0.729 Br
0.751 0.000 0.268 Br
```

---

[5]
First-principles (PBE) data for a relaxed LiPa4Se8 crystal, as listed in the Alexandria database.

* uncorrected formation energy: -1.2999 eV/atom
* crystal system: trigonal
* SG: No. 166
* calculated volume: 389.1 Å³/cell
* total moment: 5.0 μB per formula unit

Structure (POSCAR):
```
LiPa4Se8
1.0
4.131 2.385 6.583
-4.131 2.385 6.583
0.000 -4.770 6.583
Li Pa Se
1 4 8
direct
0.000 0.000 0.000 Li
0.000 0.000 0.500 Pa
0.000 0.500 0.000 Pa
0.500 0.000 0.000 Pa
0.500 0.500 0.500 Pa
0.246 0.246 0.246 Se
0.246 0.750 0.750 Se
0.250 0.250 0.754 Se
0.250 0.754 0.250 Se
0.750 0.246 0.750 Se
0.750 0.750 0.246 Se
0.754 0.250 0.250 Se
0.754 0.754 0.754 Se
```

---

[6]
First-principles (PBE) data for a relaxed ScCdSb2 crystal, as listed in the Alexandria database.

* uncorrected formation energy: -0.2865 eV/atom
* crystal system: orthorhombic
* SG: No. 71
* calculated volume: 97.0 Å³/cell
* total moment: 0.0 μB per formula unit

Structure (POSCAR):
```
ScCdSb2
1.0
-2.303 2.317 4.548
2.303 -2.317 4.548
2.303 2.317 -4.548
Sc Cd Sb
1 1 2
direct
0.000 0.000 0.000 Sc
0.500 0.500 0.000 Cd
0.250 0.750 0.500 Sb
0.750 0.250 0.500 Sb
```

---

[7]
First-principles (PBE) data for a relaxed TlRe2SiAg crystal, as listed in the Alexandria database.

* uncorrected formation energy: 2.5772 eV/atom
* crystal system: tetragonal
* SG: No. 123
* calculated volume: 126.3 Å³/cell
* total moment: 5.5 μB per formula unit

Structure (POSCAR):
```
TlRe2SiAg
1.0
5.016 0.000 0.000
0.000 5.016 0.000
0.000 0.000 5.021
Tl Re Si Ag
1 2 1 1
direct
0.000 0.000 0.000 Tl
0.000 0.500 0.500 Re
0.500 0.000 0.500 Re
0.500 0.500 0.000 Si
0.000 0.000 0.500 Ag
```

---

[8]
First-principles (PBE) data for a relaxed Mg6GaFe crystal, as listed in the Alexandria database.

* formation energy: 0.0879 eV/atom
* crystal system: orthorhombic
* SG: No. 38
* calculated volume: 155.8 Å³/cell
* total moment: 2.1 μB per formula unit

Structure (POSCAR):
```
Mg6GaFe
1.0
4.908 0.000 0.000
0.000 3.031 5.236
0.000 -3.031 5.236
Mg Ga Fe
6 1 1
direct
0.000 0.000 0.000 Mg
0.000 0.016 0.493 Mg
0.000 0.493 0.016 Mg
0.500 0.335 0.826 Mg
0.500 0.826 0.335 Mg
0.500 0.832 0.832 Mg
0.000 0.489 0.489 Ga
0.500 0.336 0.336 Fe
```

---

[9]
First-principles (PBE) data for a relaxed CsHgP2O8 crystal, as listed in the Alexandria database.

* uncorrected formation energy: -1.4228 eV/atom
* crystal system: trigonal
* SG: No. 147
* calculated volume: 215.7 Å³/cell
* total moment: 3.1 μB per formula unit

Structure (POSCAR):
```
CsHgP2O8
1.0
5.209 0.000 0.000
-2.604 4.511 0.000
0.000 0.000 9.180
Cs Hg P O
1 1 2 8
direct
0.000 0.000 0.000 Cs
0.000 0.000 0.500 Hg
0.333 0.667 0.705 P
0.667 0.333 0.295 P
0.059 0.373 0.655 O
0.314 0.941 0.655 O
0.333 0.667 0.873 O
0.373 0.314 0.345 O
0.627 0.686 0.655 O
0.667 0.333 0.127 O
0.686 0.059 0.345 O
0.941 0.627 0.345 O
```

---

[10]
First-principles (PBE) data for a relaxed Al2ZnIr2 crystal, as listed in the Alexandria database.

* formation energy: -0.6449 eV/atom
* crystal system: tetragonal
* SG: No. 127
* calculated volume: 150.3 Å³/cell
* total moment: 0.0 μB per formula unit

Structure (POSCAR):
```
Al2ZnIr2
1.0
7.157 0.000 0.000
0.000 7.157 0.000
0.000 0.000 2.935
Al Zn Ir
4 2 4
direct
0.143 0.357 0.000 Al
0.357 0.857 0.000 Al
0.643 0.143 0.000 Al
0.857 0.643 0.000 Al
0.000 0.000 0.500 Zn
0.500 0.500 0.500 Zn
0.154 0.654 0.500 Ir
0.346 0.154 0.500 Ir
0.654 0.846 0.500 Ir
0.846 0.346 0.500 Ir
```

---

[11]
First-principles (PBE) data for a relaxed LaUCo4 crystal, as listed in the Alexandria database.

* formation energy: -0.0939 eV/atom
* crystal system: monoclinic
* SG: No. 12
* calculated volume: 196.7 Å³/cell
* total moment: 0.0 μB per formula unit

Structure (POSCAR):
```
LaUCo4
1.0
4.660 -3.479 0.000
4.660 3.479 0.000
-1.734 0.000 6.067
La U Co
2 2 8
direct
0.153 0.153 0.252 La
0.847 0.847 0.748 La
0.419 0.419 0.717 U
0.581 0.581 0.283 U
0.185 0.574 0.084 Co
0.193 0.193 0.761 Co
0.239 0.761 0.500 Co
0.426 0.815 0.916 Co
0.574 0.185 0.084 Co
0.761 0.239 0.500 Co
0.807 0.807 0.239 Co
0.815 0.426 0.916 Co
```

---

[12]
First-principles (PBE) data for a relaxed SmZrZnRu crystal, as listed in the Alexandria database.

* formation energy: -0.2427 eV/atom
* crystal system: cubic
* SG: No. 216
* calculated volume: 81.0 Å³/cell
* total moment: 0.0 μB per formula unit

Structure (POSCAR):
```
SmZrZnRu
1.0
0.000 3.434 3.434
3.434 0.000 3.434
3.434 3.434 0.000
Sm Zr Zn Ru
1 1 1 1
direct
0.000 0.000 0.000 Sm
0.500 0.500 0.500 Zr
0.250 0.250 0.250 Zn
0.750 0.750 0.750 Ru
```

---

[13]
First-principles (PBE) data for a relaxed Tl8Pb2Au crystal, as listed in the Alexandria database.

* formation energy: 0.0070 eV/atom
* crystal system: monoclinic
* SG: No. 12
* calculated volume: 329.3 Å³/cell
* total moment: 0.0 μB per formula unit

Structure (POSCAR):
```
Tl8Pb2Au
1.0
10.053 -1.858 0.000
10.053 1.858 0.000
-2.041 0.000 8.816
Tl Pb Au
8 2 1
direct
0.037 0.037 0.254 Tl
0.119 0.119 0.663 Tl
0.318 0.318 0.592 Tl
0.402 0.402 0.018 Tl
0.598 0.598 0.982 Tl
0.682 0.682 0.408 Tl
0.881 0.881 0.337 Tl
0.963 0.963 0.746 Tl
0.242 0.242 0.152 Pb
0.758 0.758 0.848 Pb
0.500 0.500 0.500 Au
```

---

[14]
First-principles (PBE) data for a relaxed Ta2CrOs crystal, as listed in the Alexandria database.

* formation energy: -0.0676 eV/atom
* crystal system: tetragonal
* SG: No. 99
* calculated volume: 62.7 Å³/cell
* total moment: 0.6 μB per formula unit

Structure (POSCAR):
```
Ta2CrOs
1.0
3.137 0.000 0.000
0.000 3.137 0.000
0.000 0.000 6.369
Ta Cr Os
2 1 1
direct
0.000 0.000 0.000 Ta
0.500 0.500 0.281 Ta
0.000 0.000 0.510 Cr
0.500 0.500 0.754 Os
```

---

[15]
First-principles (PBE) data for a relaxed BaOsRu crystal, as listed in the Alexandria database.

* formation energy: 0.4319 eV/atom
* crystal system: monoclinic
* SG: No. 10
* calculated volume: 156.8 Å³/cell
* total moment: 0.0 μB per formula unit

Structure (POSCAR):
```
BaOsRu
1.0
5.336 0.000 0.000
0.000 4.117 0.000
-0.009 0.000 7.136
Ba Os Ru
2 2 2
direct
0.000 0.000 0.000 Ba
0.000 0.500 0.500 Ba
0.466 0.000 0.665 Os
0.534 0.000 0.335 Os
0.463 0.500 0.168 Ru
0.537 0.500 0.832 Ru
```

---

[16]
First-principles (PBE) data for a relaxed Nd4AlNi crystal, as listed in the Alexandria database.

* formation energy: -0.0917 eV/atom
* crystal system: orthorhombic
* SG: No. 36
* calculated volume: 359.7 Å³/cell
* total moment: 0.0 μB per formula unit

Structure (POSCAR):
```
Nd4AlNi
1.0
2.635 -10.341 0.000
2.635 10.341 0.000
0.000 0.000 6.601
Nd Al Ni
8 2 2
direct
0.049 0.951 0.500 Nd
0.195 0.805 0.749 Nd
0.196 0.804 0.252 Nd
0.406 0.594 0.501 Nd
0.594 0.406 0.001 Nd
0.804 0.196 0.752 Nd
0.805 0.195 0.249 Nd
0.951 0.049 0.000 Nd
0.346 0.654 0.001 Al
0.654 0.346 0.501 Al
0.083 0.917 0.000 Ni
0.917 0.083 0.500 Ni
```

---

[17]
First-principles (PBE) data for a relaxed Pr3RhBr3 crystal, as listed in the Alexandria database.

* uncorrected formation energy: -1.3620 eV/atom
* crystal system: cubic
* SG: No. 214
* calculated volume: 899.6 Å³/cell
* total moment: 0.0 μB per formula unit

Structure (POSCAR):
```
Pr3RhBr3
1.0
-6.081 6.081 6.081
6.081 -6.081 6.081
6.081 6.081 -6.081
Pr Rh Br
12 4 12
direct
0.015 0.031 0.265 Pr
0.015 0.485 0.750 Pr
0.031 0.265 0.015 Pr
0.235 0.265 0.750 Pr
0.235 0.469 0.485 Pr
0.265 0.015 0.031 Pr
0.265 0.750 0.235 Pr
0.469 0.485 0.235 Pr
0.485 0.235 0.469 Pr
0.485 0.750 0.015 Pr
0.750 0.015 0.485 Pr
0.750 0.235 0.265 Pr
0.000 0.250 0.500 Rh
0.250 0.250 0.250 Rh
0.250 0.500 0.000 Rh
0.500 0.000 0.250 Rh
0.250 0.755 0.745 Br
0.250 0.995 0.505 Br
0.505 0.250 0.995 Br
0.505 0.755 0.511 Br
0.511 0.505 0.755 Br
0.745 0.250 0.755 Br
0.745 0.995 0.989 Br
0.755 0.511 0.505 Br
0.755 0.745 0.250 Br
0.989 0.745 0.995 Br
0.995 0.505 0.250 Br
0.995 0.989 0.745 Br
```

---

[18]
First-principles (PBE) data for a relaxed LiTcAu2 crystal, as listed in the Alexandria database.

* formation energy: 0.0948 eV/atom
* crystal system: trigonal
* SG: No. 166
* calculated volume: 64.0 Å³/cell
* total moment: 0.6 μB per formula unit

Structure (POSCAR):
```
LiTcAu2
1.0
1.418 0.819 9.191
-1.418 0.819 9.191
0.000 -1.638 9.191
Li Tc Au
1 1 2
direct
0.000 0.000 0.000 Li
0.500 0.500 0.500 Tc
0.252 0.252 0.252 Au
0.748 0.748 0.748 Au
```

---

[19]
First-principles (PBE) data for a relaxed SrTl2Br crystal, as listed in the Alexandria database.

* uncorrected formation energy: -0.6670 eV/atom
* crystal system: orthorhombic
* SG: No. 71
* calculated volume: 140.2 Å³/cell
* total moment: 0.0 μB per formula unit

Structure (POSCAR):
```
SrTl2Br
1.0
-2.020 2.360 7.350
2.020 -2.360 7.350
2.020 2.360 -7.350
Sr Tl Br
1 2 1
direct
0.000 0.000 0.000 Sr
0.213 0.713 0.500 Tl
0.787 0.287 0.500 Tl
0.500 0.500 0.000 Br
```

---

[20]
First-principles (PBE) data for a relaxed K2NaIn2 crystal, as listed in the Alexandria database.

* formation energy: 0.1082 eV/atom
* crystal system: tetragonal
* SG: No. 139
* calculated volume: 213.2 Å³/cell
* total moment: 0.0 μB per formula unit

Structure (POSCAR):
```
K2NaIn2
1.0
-2.579 2.579 8.009
2.579 -2.579 8.009
2.579 2.579 -8.009
K Na In
2 1 2
direct
0.250 0.750 0.500 K
0.750 0.250 0.500 K
0.000 0.000 0.000 Na
0.412 0.412 0.000 In
0.588 0.588 0.000 In
```